1.
A plane-wave DFT calculation with PBE was carried out for crystalline SmEr3In2 at its relaxed geometry.

## Properties
theoretical density = 8.7 g cm⁻³
symmetry = P-6m2, No. 187
total moment = 0.7 μB/cell
total DFT energy (no corrections) = -4.325 eV/atom

a b c (Å): 5.3749 5.3749 6.7180
angles (deg): 90.00 90.00 120.00
Element x y z (fractional)
Sm 0.0000 0.0000 0.0000
Er 0.3333 0.6667 0.5000
Er 0.6667 0.3333 0.2552
Er 0.6667 0.3333 0.7448
In 0.0000 0.0000 0.5000
In 0.3333 0.6667 0.0000

2.
A plane-wave DFT calculation with PBE was carried out for crystalline SmErTm2In2 at its relaxed geometry.

## Properties
theoretical density = 8.8 g cm⁻³
symmetry = P-3m1, No. 164
total moment = 0.3 μB/cell
total DFT energy (no corrections) = -4.296 eV/atom

a b c (Å): 5.3621 5.3621 6.7094
angles (deg): 90.00 90.00 120.00
Element x y z (fractional)
Sm 0.0000 0.0000 0.0000
Er 0.0000 0.0000 0.5000
Tm 0.3333 0.6667 0.2547
Tm 0.6667 0.3333 0.7453
In 0.3333 0.6667 0.7471
In 0.6667 0.3333 0.2529

3.
A plane-wave DFT calculation with PBE was carried out for crystalline Sm2ErTmIn2 at its relaxed geometry.

## Properties
theoretical density = 8.4 g cm⁻³
symmetry = P-3m1, No. 164
total moment = 0.1 μB/cell
total DFT energy (no corrections) = -4.337 eV/atom

a b c (Å): 5.4134 5.4134 6.7571
angles (deg): 90.00 90.00 120.00
Element x y z (fractional)
Sm 0.3333 0.6667 0.2501
Sm 0.6667 0.3333 0.7499
Er 0.0000 0.0000 0.0000
Tm 0.0000 0.0000 0.5000
In 0.3333 0.6667 0.7500
In 0.6667 0.3333 0.2500

4.
A plane-wave DFT calculation with PBE was carried out for crystalline Tb2ErIn3 at its relaxed geometry.

## Properties
theoretical density = 8.7 g cm⁻³
symmetry = P4/mmm, No. 123
total moment = 0.0 μB/cell
total DFT energy (no corrections) = -4.138 eV/atom

a b c (Å): 3.5516 3.5516 12.5218
angles (deg): 90.00 90.00 90.00
Element x y z (fractional)
Tb 0.0000 0.0000 0.1680
Tb 0.0000 0.0000 0.8320
Er 0.0000 0.0000 0.5000
In 0.5000 0.5000 0.0000
In 0.5000 0.5000 0.3359
In 0.5000 0.5000 0.6641

5.
A plane-wave DFT calculation with PBE was carried out for crystalline TbErIn5 at its relaxed geometry.

## Properties
theoretical density = 8.0 g cm⁻³
symmetry = P4/mmm, No. 123
total moment = 0.0 μB/cell
total DFT energy (no corrections) = -3.574 eV/atom

a b c (Å): 4.7039 4.7039 8.4369
angles (deg): 90.00 90.00 90.00
Element x y z (fractional)
Tb 0.0000 0.0000 0.0000
Er 0.0000 0.0000 0.5000
In 0.0000 0.5000 0.2667
In 0.0000 0.5000 0.7333
In 0.5000 0.0000 0.2667
In 0.5000 0.0000 0.7333
In 0.5000 0.5000 0.0000

6.
A plane-wave DFT calculation with PBE was carried out for crystalline TbEr2In3 at its relaxed geometry.

## Properties
theoretical density = 8.9 g cm⁻³
symmetry = P4/mmm, No. 123
total moment = 0.0 μB/cell
total DFT energy (no corrections) = -4.115 eV/atom

a b c (Å): 3.5338 3.5338 12.4926
angles (deg): 90.00 90.00 90.00
Element x y z (fractional)
Tb 0.0000 0.0000 0.0000
Er 0.0000 0.0000 0.3346
Er 0.0000 0.0000 0.6654
In 0.5000 0.5000 0.1693
In 0.5000 0.5000 0.5000
In 0.5000 0.5000 0.8307